No. 1
A relaxed TeMo2Au crystal. Source: Alexandria, functional PBE.

Properties
As for the uncorrected formation energy: 0.62 eV/atom. The total energy comes out at -0.470 Ry/atom.

Cell: 3.3813 4.6198 4.6709 Å, 90.00 90.00 90.00°
Positions (direct):
Au 0.0000 0.5000 0.5000
Mo 0.0000 0.0000 0.0000
Mo 0.5000 0.5000 0.0000
Te 0.5000 0.0000 0.5000

***

No. 2
A relaxed TeMoAu2 crystal. Source: Alexandria, functional PBE.

Properties
As for the uncorrected formation energy: 0.50 eV/atom. The total energy comes out at -0.340 Ry/atom.

Cell: 5.6237 5.6237 5.6237 Å, 138.00 138.00 60.91°
Each line ends with the local moment (μB).
Positions (direct):
Au 0.0000 0.0000 0.0000  0.06
Au 0.5000 0.5000 0.0000  0.06
Mo 0.2500 0.7500 0.5000  2.17
Te 0.7500 0.2500 0.5000  -0.04

***

- Look up the uncorrected formation energy of the second one.
  0.50 eV/atom